Here is a relaxed SrTmAgPt crystal from the Alexandria database. Energies are from PBE.

Cell and atoms, written as POSCAR:
```
SrTmAgPt
1.0
-0.729 2.861 -4.195
-4.706 1.661 -1.186
-1.155 4.977 0.459
Sr Tm Ag Pt
1 1 1 1
Cartesian
-3.295 4.750 -2.461 Sr
0.000 0.000 0.000 Tm
-1.647 2.375 -1.231 Ag
-4.942 7.124 -3.692 Pt
```

The raw total energy comes out at -4.329 eV per atom.


Here is a relaxed SrYAgPt crystal from the Alexandria database. Energies are from PBE.

Cell and atoms, written as POSCAR:
```
SrYAgPt
1.0
5.171 0.000 0.000
2.585 4.478 0.000
2.585 1.493 4.222
Y Sr Ag Pt
1 1 1 1
Cartesian
7.756 4.478 3.167 Y
2.585 1.493 1.056 Sr
0.000 0.000 0.000 Ag
5.171 2.985 2.111 Pt
```

The raw total energy comes out at -4.829 eV per atom.


Here is a relaxed Sr2Zn3AgPt4 crystal from the Alexandria database. Energies are from PBE.

Cell and atoms, written as POSCAR:
```
Sr2Zn3AgPt4
1.0
-1.153 -2.400 3.269
3.833 0.467 1.695
-3.590 9.297 5.560
Sr Zn Ag Pt
2 3 1 4
Cartesian
-1.462 1.092 3.005 Sr
-0.789 7.238 5.036 Sr
-1.795 4.649 2.780 Zn
-3.704 6.899 6.478 Zn
1.454 1.432 1.564 Zn
-0.455 3.682 5.262 Ag
1.340 -0.967 2.482 Pt
0.000 0.000 0.000 Pt
-2.916 4.858 5.257 Pt
0.666 3.473 2.784 Pt
```

The raw total energy comes out at -4.024 eV per atom.


Here is a relaxed Sr2Zn6AgPt crystal from the Alexandria database. Energies are from PBE.

Cell and atoms, written as POSCAR:
```
Sr2Zn6AgPt
1.0
5.207 -0.017 -0.040
0.028 9.094 -0.007
2.654 4.610 4.629
Sr Zn Ag Pt
2 6 1 1
Cartesian
5.240 5.005 2.205 Sr
2.649 8.682 2.377 Sr
2.631 3.075 2.276 Zn
6.582 11.376 4.409 Zn
3.973 11.385 4.430 Zn
3.916 2.301 0.153 Zn
1.307 2.310 0.173 Zn
5.258 10.611 2.306 Zn
0.000 0.000 0.000 Ag
2.618 4.538 -0.023 Pt
```

The raw total energy comes out at -2.276 eV per atom.


Here is a relaxed Sr2ZnAgPt crystal from the Alexandria database. Energies are from PBE.

Cell and atoms, written as POSCAR:
```
Sr2ZnAgPt
1.0
-3.097 2.172 4.382
-4.807 -2.308 -2.254
0.758 -4.078 2.557
Sr Zn Ag Pt
2 1 1 1
Cartesian
-2.404 -1.154 -1.127 Sr
-1.549 1.086 2.191 Sr
0.379 -2.039 1.279 Zn
-3.573 -2.107 2.343 Ag
0.000 0.000 0.000 Pt
```

The raw total energy comes out at -3.057 eV per atom.


Here is a relaxed TaAg2Pt crystal from the Alexandria database. Energies are from PBE.

Cell and atoms, written as POSCAR:
```
TaAg2Pt
1.0
5.791 0.001 0.000
3.085 4.901 0.000
-3.783 -3.635 2.450
Ag Pt Ta
2 1 1
Cartesian
8.835 4.879 0.000 Ag
4.478 2.473 0.000 Ag
3.222 -0.592 1.225 Pt
1.869 1.858 1.225 Ta
```

The calculation puts the polymorph energy (0 for the lowest one) at 162.3 meV/atom. The raw total energy comes out at -5.848 eV per atom.


Here is a relaxed TaAg3Pt crystal from the Alexandria database. Energies are from PBE.

Cell and atoms, written as POSCAR:
```
TaAg3Pt
1.0
5.037 0.000 0.000
0.000 5.037 0.000
0.000 0.000 5.037
Ag Pt Ta
3 1 1
Cartesian
0.000 2.519 0.000 Ag
0.000 0.000 2.519 Ag
2.519 0.000 0.000 Ag
2.519 2.519 2.519 Pt
0.000 0.000 0.000 Ta
```

The calculation puts the polymorph energy (0 for the lowest one) at 278.6 meV/atom. The raw total energy comes out at -3.406 eV per atom.


Here is a relaxed TaAg2Pt crystal from the Alexandria database. Energies are from PBE.

Cell and atoms, written as POSCAR:
```
TaAg2Pt
1.0
-1.418 2.230 1.029
-3.803 -1.654 -1.655
-0.850 -2.674 4.624
Ag Pt Ta
2 1 1
Cartesian
-0.849 -2.672 4.622 Ag
-0.425 -1.338 2.314 Ag
-2.823 -0.380 0.843 Pt
-3.248 -1.717 3.155 Ta
```

The calculation puts the polymorph energy (0 for the lowest one) at 231.8 meV/atom. The raw total energy comes out at -5.778 eV per atom.


Here is a relaxed TaAgPt crystal from the Alexandria database. Energies are from PBE.

Cell and atoms, written as POSCAR:
```
TaAgPt
1.0
-0.260 4.381 0.065
-0.234 2.127 3.832
3.411 2.380 1.400
Ag Pt Ta
1 1 1
Cartesian
1.459 4.444 2.649 Ag
2.188 6.666 3.973 Pt
0.000 0.000 0.000 Ta
```

The calculation puts the polymorph energy (0 for the lowest one) at 399.1 meV/atom. The raw total energy comes out at -6.747 eV per atom.


Here is a relaxed TaAgPt crystal from the Alexandria database. Energies are from PBE.

Cell and atoms, written as POSCAR:
```
TaAgPt
1.0
-1.026 -2.687 0.136
0.469 1.234 -2.559
6.699 -2.559 -0.006
Ag Pt Ta
1 1 1
Cartesian
0.012 -0.004 0.000 Ag
1.784 -2.263 -0.764 Pt
4.346 -1.745 -1.664 Ta
```

The calculation puts the polymorph energy (0 for the lowest one) at 138.1 meV/atom. The raw total energy comes out at -7.008 eV per atom.


Here is a relaxed TaAg2Pt crystal from the Alexandria database. Energies are from PBE.

Cell and atoms, written as POSCAR:
```
TaAg2Pt
1.0
-0.863 -0.350 -3.775
0.559 -2.800 0.132
-5.422 -3.925 1.604
Ag Pt Ta
2 1 1
Cartesian
0.537 -2.804 0.137 Ag
-1.636 -1.855 -1.456 Ag
-2.561 -3.387 0.900 Pt
-3.938 -5.192 -0.621 Ta
```

The calculation puts the polymorph energy (0 for the lowest one) at 51.4 meV/atom. The raw total energy comes out at -5.958 eV per atom.


Here is a relaxed TaAg2Pt crystal from the Alexandria database. Energies are from PBE.

Cell and atoms, written as POSCAR:
```
TaAg2Pt
1.0
2.884 0.000 0.000
0.000 2.884 0.000
0.000 0.000 8.306
Ag Pt Ta
2 1 1
Cartesian
0.000 0.000 8.285 Ag
1.442 1.442 2.117 Ag
0.000 0.000 4.254 Pt
1.442 1.442 6.109 Ta
```

The calculation puts the polymorph energy (0 for the lowest one) at 0.0 meV/atom. The raw total energy comes out at -6.010 eV per atom.